# Th5TlSe4, relaxed, DFT GGA-PBE
# formation energy without anion corrections	-1.2192	eV per atom
# size of the total moment	0.0	μB per formula unit
# DFT total energy	-6.56	eV per atom
# density	10.08	g/cm³
data_Th5TlSe4
_cell_length_a 4.383
_cell_length_b 6.036
_cell_length_c 20.925
_cell_angle_alpha 90.00
_cell_angle_beta 90.00
_cell_angle_gamma 90.00
_symmetry_space_group_name_H-M 'I m m m'
_symmetry_Int_Tables_number 71
_symmetry_space_group_name_Hall '-I 2 2'
loop_
_atom_site_label
_atom_site_type_symbol
_atom_site_fract_x
_atom_site_fract_y
_atom_site_fract_z
Th1 Th 0.000 0.000 0.000
Th2 Th 0.000 0.000 0.198
Th3 Th 0.000 0.000 0.391
Tl1 Tl 0.000 0.500 0.000
Se1 Se 0.000 0.500 0.205
Se2 Se 0.000 0.500 0.401